Material: ZnSb2Rh
Method: DFT, PBE-GGA
State: optimized geometry

Cell and atoms, written as CIF:
```
data_ZnSb2Rh
_cell_length_a 5.999
_cell_length_b 7.761
_cell_length_c 3.407
_cell_angle_alpha 90.00
_cell_angle_beta 90.00
_cell_angle_gamma 90.00
_space_group_name_H-M_alt 'C m m m'
_space_group_IT_number 65
_space_group_name_Hall '-C 2 2'
loop_
_atom_site_label
_atom_site_type_symbol
_atom_site_fract_x
_atom_site_fract_y
_atom_site_fract_z
Zn1 Zn 0.000 0.000 0.000
Sb1 Sb 0.250 0.250 0.500
Rh1 Rh 0.000 0.500 0.000
```

Calculated values
The value obtained for the formation energy from raw total energies is 69 meV per atom. For the volume, the calculation gives 19.8 Å³ per atom.



Material: Ca3Ni9SnGe2
Method: DFT, PBE-GGA
State: optimized geometry

Cell and atoms, written as CIF:
```
data_Ca3Ni9SnGe2
_cell_length_a 5.9969
_cell_length_b 5.9969
_cell_length_c 8.9533
_cell_angle_alpha 90.00
_cell_angle_beta 90.00
_cell_angle_gamma 120.00
_space_group_name_H-M_alt 'P -3 m 1'
_space_group_IT_number 164
_space_group_name_Hall '-P 3 2"'
loop_
_atom_site_label
_atom_site_type_symbol
_atom_site_fract_x
_atom_site_fract_y
_atom_site_fract_z
Ca1 Ca 0.0000 0.0000 0.0000
Ca2 Ca 0.3333 0.6667 0.7009
Ni1 Ni 0.0000 0.5000 0.0000
Ni2 Ni 0.1336 0.2673 0.2659
Sn1 Sn 0.0000 0.0000 0.5000
Ge1 Ge 0.3333 0.6667 0.1737
```

Calculated values
The value obtained for the energy of formation is -54 meV/atom. For the volume, the calculation gives 18.6 Å³ per atom.



Material: CaAcYHo
Method: DFT, PBE-GGA
State: optimized geometry

Cell and atoms, written as CIF:
```
data_CaAcYHo
_cell_length_a 8.387
_cell_length_b 8.387
_cell_length_c 8.387
_cell_angle_alpha 90.00
_cell_angle_beta 90.00
_cell_angle_gamma 90.00
_space_group_name_H-M_alt 'F -4 3 m'
_space_group_IT_number 216
_space_group_name_Hall 'F -4 2 3'
loop_
_atom_site_label
_atom_site_type_symbol
_atom_site_fract_x
_atom_site_fract_y
_atom_site_fract_z
Ca1 Ca 0.000 0.000 0.000
Ac1 Ac 0.250 0.250 0.250
Y1 Y 0.250 0.250 0.750
Ho1 Ho 0.000 0.000 0.500
```

Calculated values
The value obtained for the energy of formation is 123 meV/atom. For the volume, the calculation gives 36.9 Å³ per atom.



Material: HoScCSe
Method: DFT, PBE-GGA
State: optimized geometry

Cell and atoms, written as CIF:
```
data_HoScCSe
_cell_length_a 3.6026
_cell_length_b 3.6026
_cell_length_c 19.4257
_cell_angle_alpha 90.00
_cell_angle_beta 90.00
_cell_angle_gamma 120.00
_space_group_name_H-M_alt 'R 3 m'
_space_group_IT_number 160
_space_group_name_Hall 'R 3 -2"'
loop_
_atom_site_label
_atom_site_type_symbol
_atom_site_fract_x
_atom_site_fract_y
_atom_site_fract_z
Ho1 Ho 0.0000 0.0000 0.0000
Sc1 Sc 0.0000 0.0000 0.2018
C1 C 0.0000 0.0000 0.5973
Se1 Se 0.0000 0.0000 0.7738
```

Calculated values
The value obtained for the formation energy from raw total energies is -1102 meV per atom. For the volume, the calculation gives 18.2 Å³ per atom.



Material: BaTc2Br
Method: DFT, PBE-GGA
State: optimized geometry

Cell and atoms, written as CIF:
```
data_BaTc2Br
_cell_length_a 4.928
_cell_length_b 4.928
_cell_length_c 17.583
_cell_angle_alpha 90.00
_cell_angle_beta 90.00
_cell_angle_gamma 90.00
_space_group_name_H-M_alt 'I 41/a m d'
_space_group_IT_number 141
loop_
_space_group_symop_operation_xyz
'x,y,z'
'-x,-y,-z'
'-y+1/4,x+3/4,z+1/4'
'y+1/4,-x+3/4,-z+1/4'
'-x+1/2,-y,z+1/2'
'x+1/2,y,-z+1/2'
'y+1/4,-x+1/4,z+3/4'
'-y+1/4,x+1/4,-z+3/4'
'x,-y,-z'
'-x,y,z'
'-y+1/4,-x+1/4,-z+3/4'
'y+1/4,x+1/4,z+3/4'
'-x+1/2,y,-z+1/2'
'x+1/2,-y,z+1/2'
'y+1/4,x+3/4,-z+1/4'
'-y+1/4,-x+3/4,z+1/4'
'x+1/2,y+1/2,z+1/2'
'-x+1/2,-y+1/2,-z+1/2'
'-y+3/4,x+1/4,z+3/4'
'y+3/4,-x+1/4,-z+3/4'
'-x,-y+1/2,z'
'x,y+1/2,-z'
'y+3/4,-x+3/4,z+1/4'
'-y+3/4,x+3/4,-z+1/4'
'x+1/2,-y+1/2,-z+1/2'
'-x+1/2,y+1/2,z+1/2'
'-y+3/4,-x+3/4,-z+1/4'
'y+3/4,x+3/4,z+1/4'
'-x,y+1/2,-z'
'x,-y+1/2,z'
'y+3/4,x+1/4,-z+3/4'
'-y+3/4,-x+1/4,z+3/4'
loop_
_atom_site_label
_atom_site_type_symbol
_atom_site_fract_x
_atom_site_fract_y
_atom_site_fract_z
Ba1 Ba 0.000 0.250 0.375
Tc1 Tc 0.000 0.000 0.000
Br1 Br 0.000 0.250 0.875
```

Calculated values
The calculation puts the excess energy over the best structure of this formula in the dataset at 532 meV per atom. The value obtained for the formation energy from raw total energies is 663 meV per atom. For the volume, the calculation gives 26.7 Å³ per atom.



Material: DyYTe2
Method: DFT, PBE-GGA
State: optimized geometry

Cell and atoms, written as CIF:
```
data_DyYTe2
_cell_length_a 4.3720
_cell_length_b 4.3720
_cell_length_c 21.2389
_cell_angle_alpha 90.00
_cell_angle_beta 90.00
_cell_angle_gamma 120.00
_space_group_name_H-M_alt 'R -3 m'
_space_group_IT_number 166
_space_group_name_Hall '-R 3 2"'
loop_
_atom_site_label
_atom_site_type_symbol
_atom_site_fract_x
_atom_site_fract_y
_atom_site_fract_z
Dy1 Dy 0.0000 0.0000 0.0000
Y1 Y 0.0000 0.0000 0.5000
Te1 Te 0.0000 0.0000 0.2503
```

Calculated values
The calculation puts the excess energy over the best structure of this formula in the dataset at 24 meV per atom. The value obtained for the formation energy from raw total energies is -1294 meV per atom. For the volume, the calculation gives 29.3 Å³ per atom.



no.,electronic total energy (eV/atom),total magnetization (μB per cell)
1,-4.149,0.000
2,-4.805,0.000
3,-4.165,0.001
4,-7.006,0.000
5,-5.419,0.000
6,-5.632,0.000